1.
Below is KMoCl2 at its PBEsol-relaxed geometry, with properties calculated at the meta-GGA SCAN level.

a = 4.4876 Å, b = 4.4876 Å, c = 6.5361 Å
α = 100.38°, β = 100.38°, γ = 62.68°
With the nearest neighbours (Å) after each atom.
Sites, in units of the cell vectors:
K (0.0000, 0.0000, 0.0000)  6 Cl 3.10-3.11
Mo (0.5000, 0.5000, 0.5000)  2 Cl 2.44
Cl (0.2947, 0.2947, 0.7391)  1 Mo 2.44
Cl (0.7053, 0.7053, 0.2609)  1 Mo 2.44

Energy above the most stable polymorph in this dataset: 0.00 eV/f.u.

=====

2.
Below is K3MoCl6 at its PBEsol-relaxed geometry, with properties calculated at the meta-GGA SCAN level.

a = 7.4776 Å, b = 7.4776 Å, c = 7.4776 Å
α = 60.00°, β = 60.00°, γ = 60.00°
With the nearest neighbours (Å) after each atom.
Sites, in units of the cell vectors:
K (0.0000, 0.0000, 0.0000)  6 Cl 2.88
K (0.2500, 0.2500, 0.2500)  12 Cl 3.75
K (0.7500, 0.7500, 0.7500)  12 Cl 3.75
Mo (0.5000, 0.5000, 0.5000)  6 Cl 2.41
Cl (0.2722, 0.2722, 0.7278)  1 Mo 2.41
Cl (0.2722, 0.7278, 0.2722)  1 Mo 2.41
Cl (0.2722, 0.7278, 0.7278)  1 Mo 2.41
Cl (0.7278, 0.2722, 0.2722)  1 Mo 2.41
Cl (0.7278, 0.2722, 0.7278)  1 Mo 2.41
Cl (0.7278, 0.7278, 0.2722)  1 Mo 2.41

=====

3.
Below is KMoCl2 at its PBEsol-relaxed geometry, with properties calculated at the meta-GGA SCAN level.

a = 7.0518 Å, b = 7.0518 Å, c = 7.0518 Å
α = 147.14°, β = 147.14°, γ = 47.16°
With the nearest neighbours (Å) after each atom.
Sites, in units of the cell vectors:
K (0.0000, 0.0000, 0.0000)  4 Cl 2.82
Mo (0.7500, 0.2500, 0.5000)  4 Cl 2.82
Cl (0.2500, 0.7500, 0.5000)  4 Mo 2.82
Cl (0.5000, 0.5000, 0.0000)  4 K 2.82

Energy above the most stable polymorph in this dataset: 0.80 eV/f.u.

=====

4.
Below is K4MoCl at its PBEsol-relaxed geometry, with properties calculated at the meta-GGA SCAN level.

a = 7.2787 Å, b = 7.2787 Å, c = 7.2787 Å
α = 60.00°, β = 60.00°, γ = 60.00°
With the nearest neighbours (Å) after each atom.
Sites, in units of the cell vectors:
K (0.1251, 0.1251, 0.1251)  6 K 3.64
K (0.1251, 0.1251, 0.6246)  6 K 3.64
K (0.1251, 0.6246, 0.1251)  6 K 3.64
K (0.6246, 0.1251, 0.1251)  6 K 3.64
Mo (0.7500, 0.7500, 0.7500)  12 K 4.27, 4 Cl 4.46
Cl (0.5000, 0.5000, 0.5000)  12 K 4.27, 4 Mo 4.46

=====

5.
Below is K2MoCl at its PBEsol-relaxed geometry, with properties calculated at the meta-GGA SCAN level.

a = 3.5947 Å, b = 3.6638 Å, c = 9.7943 Å
α = 90.00°, β = 90.00°, γ = 90.00°
With the nearest neighbours (Å) after each atom.
Sites, in units of the cell vectors:
K (0.0000, 0.0000, 0.0000)  4 Cl 3.03
K (0.5000, 0.0000, 0.4115)  2 Cl 3.04
Mo (0.0000, 0.5000, 0.6818)  4 Mo 3.59-3.66, 6 K 3.61-3.69
Cl (0.5000, 0.5000, 0.1643)  6 K 3.03-3.04

Energy above the most stable polymorph in this dataset: 0.00 eV/f.u.

=====

6.
Below is KTaN2Cl at its PBEsol-relaxed geometry, with properties calculated at the meta-GGA SCAN level.

a = 4.0575 Å, b = 4.0575 Å, c = 5.0612 Å
α = 90.00°, β = 90.00°, γ = 90.00°
With the nearest neighbours (Å) after each atom.
Sites, in units of the cell vectors:
K (0.0000, 0.0000, 0.0000)  4 Cl 2.87
Ta (0.5000, 0.5000, 0.5000)  4 N 2.03
N (0.0000, 0.5000, 0.5000)  2 Ta 2.03
N (0.5000, 0.0000, 0.5000)  2 Ta 2.03
Cl (0.5000, 0.5000, 0.0000)  2 Ta 2.53

=====

7.
Below is KNa4Cl5 at its PBEsol-relaxed geometry, with properties calculated at the meta-GGA SCAN level.

a = 16.7143 Å, b = 16.7143 Å, c = 16.7143 Å
α = 13.90°, β = 13.90°, γ = 13.90°
With the nearest neighbours (Å) after each atom.
Sites, in units of the cell vectors:
K (0.0000, 0.0000, 0.0000)  6 Cl 3.05
Na (0.1985, 0.1985, 0.1985)  6 Cl 2.82
Na (0.4044, 0.4044, 0.4044)  6 Cl 2.81-2.83
Na (0.5956, 0.5956, 0.5956)  6 Cl 2.81-2.83
Na (0.8015, 0.8015, 0.8015)  6 Cl 2.82
Cl (0.1031, 0.1031, 0.1031)  6 Na 2.82-2.83
Cl (0.2939, 0.2939, 0.2939)  3 Na 2.81, 3 K 3.05
Cl (0.5000, 0.5000, 0.5000)  6 Na 2.82
Cl (0.7061, 0.7061, 0.7061)  3 Na 2.81, 3 K 3.05
Cl (0.8969, 0.8969, 0.8969)  6 Na 2.82-2.83

Energy above the most stable polymorph in this dataset: 0.00 eV/f.u.

=====

8.
Below is KNa4Cl5 at its PBEsol-relaxed geometry, with properties calculated at the meta-GGA SCAN level.

a = 10.7719 Å, b = 10.7719 Å, c = 10.7719 Å
α = 158.53°, β = 148.74°, γ = 38.24°
With the nearest neighbours (Å) after each atom.
Sites, in units of the cell vectors:
K (0.0000, 0.0000, 0.0000)  6 Cl 2.90-3.03
Na (0.2049, 0.2049, 0.0000)  6 Cl 2.77-2.90
Na (0.3969, 0.3969, 0.0000)  6 Cl 2.80-2.91
Na (0.6031, 0.6031, 0.0000)  6 Cl 2.80-2.91
Na (0.7951, 0.7951, 0.0000)  6 Cl 2.77-2.90
Cl (0.1114, 0.6114, 0.5000)  4 Na 2.77-2.91, 2 K 3.03
Cl (0.3012, 0.8012, 0.5000)  6 Na 2.80-2.90
Cl (0.5000, 0.0000, 0.5000)  2 K 2.90, 4 Na 2.90
Cl (0.6988, 0.1988, 0.5000)  6 Na 2.80-2.90
Cl (0.8886, 0.3886, 0.5000)  4 Na 2.77-2.91, 2 K 3.03

Energy above the most stable polymorph in this dataset: 0.11 eV/f.u.

=====

9.
Below is K2NaCl3 at its PBEsol-relaxed geometry, with properties calculated at the meta-GGA SCAN level.

a = 4.2496 Å, b = 4.2496 Å, c = 10.4853 Å
α = 90.00°, β = 90.00°, γ = 120.00°
With the nearest neighbours (Å) after each atom.
Sites, in units of the cell vectors:
K (0.3333, 0.6667, 0.1777)  6 Cl 3.08-3.09
K (0.6667, 0.3333, 0.8223)  6 Cl 3.08-3.09
Na (0.0000, 0.0000, 0.5000)  6 Cl 2.88
Cl (0.0000, 0.0000, 0.0000)  6 K 3.08
Cl (0.3333, 0.6667, 0.6435)  3 Na 2.88, 3 K 3.09
Cl (0.6667, 0.3333, 0.3565)  3 Na 2.88, 3 K 3.09

Energy above the most stable polymorph in this dataset: 0.00 eV/f.u.

=====

10.
Below is K3NaCl at its PBEsol-relaxed geometry, with properties calculated at the meta-GGA SCAN level.

a = 6.2170 Å, b = 6.2170 Å, c = 6.2170 Å
α = 90.00°, β = 90.00°, γ = 90.00°
With the nearest neighbours (Å) after each atom.
Sites, in units of the cell vectors:
K (0.0000, 0.0000, 0.5000)  2 Cl 3.11
K (0.0000, 0.5000, 0.0000)  2 Cl 3.11
K (0.5000, 0.0000, 0.0000)  2 Cl 3.11
Na (0.5000, 0.5000, 0.5000)  12 K 4.40
Cl (0.0000, 0.0000, 0.0000)  6 K 3.11

=====

Here are the calculated E_form (uncorrected) numbers, same order: -0.64, -1.73, -0.43, 0.55, 0.09, -0.69, -2.06, -2.04, -2.12, -0.81 (eV/atom).